Record 1
A relaxed Sm5HgSe4 crystal. Source: Alexandria, functional PBE.

Results
Raw formation energy (kJ/mol of atoms): -150.7
Electronic total energy (eV/atom): -5.345
Size of the total moment (μB per atom): 0.000

a b c (Å): 5.973 7.310 7.310
angles (deg): 80.39 65.89 65.89
Fractional coordinates of all 10 atoms:
Sm1 0.899 0.407 0.796
Sm2 0.306 0.796 0.593
Sm3 0.696 0.204 0.407
Sm4 0.103 0.593 0.204
Sm5 0.501 0.000 0.000
Hg1 0.001 0.000 0.000
Se1 0.400 0.402 0.800
Se2 0.802 0.800 0.598
Se3 0.200 0.200 0.402
Se4 0.602 0.598 0.200


Record 2
A relaxed Nd8IrOs3Cl4 crystal. Source: Alexandria, functional PBE.

Results
Raw formation energy (kJ/mol of atoms): -81.1
Electronic total energy (eV/atom): -6.346
Size of the total moment (μB per atom): 0.000

a b c (Å): 8.217 8.924 8.217
angles (deg): 117.42 120.00 90.00
Fractional coordinates of all 16 atoms:
Nd1 0.237 0.705 0.968
Nd2 0.237 0.705 0.474
Nd3 0.264 0.293 0.529
Nd4 0.731 0.705 0.968
Nd5 0.269 0.295 0.032
Nd6 0.736 0.707 0.471
Nd7 0.763 0.295 0.526
Nd8 0.763 0.295 0.032
Ir1 0.000 0.500 0.000
Os1 0.500 0.500 0.000
Os2 0.500 0.500 0.500
Os3 0.000 0.500 0.500
Cl1 0.500 0.000 0.000
Cl2 0.500 0.000 0.500
Cl3 0.000 0.000 0.000
Cl4 0.000 0.000 0.500


Record 3
A relaxed LiCr5Te8 crystal. Source: Alexandria, functional PBE.

Results
Raw formation energy (kJ/mol of atoms): -25.7
Electronic total energy (eV/atom): -5.635
Size of the total moment (μB per atom): 1.070

a b c (Å): 8.078 8.078 8.078
angles (deg): 60.00 60.00 60.00
Fractional coordinates of all 14 atoms:
Li1 0.250 0.250 0.250
Cr1 0.000 0.000 0.000
Cr2 0.623 0.623 0.132
Cr3 0.623 0.623 0.623
Cr4 0.132 0.623 0.623
Cr5 0.623 0.132 0.623
Te1 0.386 0.843 0.386
Te2 0.843 0.386 0.386
Te3 0.386 0.386 0.386
Te4 0.386 0.386 0.843
Te5 0.866 0.866 0.402
Te6 0.402 0.866 0.866
Te7 0.866 0.866 0.866
Te8 0.866 0.402 0.866


Record 4
A relaxed CeHo4Sb5 crystal. Source: Alexandria, functional PBE.

Results
Raw formation energy (kJ/mol of atoms): -106.0
Electronic total energy (eV/atom): -5.584
Size of the total moment (μB per atom): 0.068

a b c (Å): 4.395 6.215 11.621
angles (deg): 105.51 100.90 90.00
Fractional coordinates of all 10 atoms:
Ce1 0.000 0.000 0.000
Ho1 0.399 0.399 0.798
Ho2 0.798 0.798 0.596
Ho3 0.202 0.202 0.404
Ho4 0.601 0.601 0.202
Sb1 0.602 0.102 0.205
Sb2 0.800 0.300 0.601
Sb3 0.200 0.700 0.399
Sb4 0.000 0.500 0.000
Sb5 0.398 0.898 0.795


Look up the electronic total energy of the first one.
-5.345 eV/atom